1.
Material: BaZn3O
Method: DFT, SCAN
State: PBEsol geometry

Results
Crystal system: cubic
Volume, Å³/atom: 20.69
Energy relative to the elements, uncorrected, eV/f.u.: 0.434
N(E_F), states/eV per cell: 3.029

abc: 4.6941 4.6941 4.6941
angles: 90.00 90.00 90.00
Last column: nearest neighbours and their distance in Å.
Space group Pm-3m (No. 221)
Symmetry-distinct sites (fractional):
Ba (0.0000, 0.0000, 0.0000) (multiplicity 1)  12 Zn 3.32
Zn (0.0000, 0.5000, 0.5000) (multiplicity 3)  2 O 2.35
O (0.5000, 0.5000, 0.5000) (multiplicity 1)  6 Zn 2.35

2.
Material: AlMoN2F
Method: DFT, SCAN
State: PBEsol geometry

Results
Crystal system: tetragonal
Volume, Å³/atom: 12.43
Energy relative to the elements, uncorrected, eV/f.u.: -0.925
N(E_F), states/eV per cell: 2.612

abc: 3.9303 3.9303 4.0227
angles: 90.00 90.00 90.00
Last column: nearest neighbours and their distance in Å.
Space group P4/mmm (No. 123)
Symmetry-distinct sites (fractional):
Al (0.0000, 0.0000, 0.0000) (multiplicity 1)  4 F 2.78, 8 N 2.81
Mo (0.5000, 0.5000, 0.5000) (multiplicity 1)  4 N 1.97, 2 F 2.01
N (0.0000, 0.5000, 0.5000) (multiplicity 2)  2 Mo 1.97
F (0.5000, 0.5000, 0.0000) (multiplicity 1)  2 Mo 2.01

3.
Material: NdDy3
Method: DFT, SCAN
State: PBEsol geometry

Results
Crystal system: hexagonal
ΔE_f, eV/atom: 0.019
Volume, Å³/atom: 30.74
N(E_F), states/eV per cell: 12.862

abc: 7.1095 7.1095 5.6173
angles: 90.00 90.00 120.00
Last column: nearest neighbours and their distance in Å.
Space group P6_3/mmc (No. 194)
Symmetry-distinct sites (fractional):
Nd (0.3333, 0.6667, 0.2500) (multiplicity 2)  12 Dy 3.48-3.55
Dy (0.1662, 0.3323, 0.7500) (multiplicity 6)  8 Dy 3.47-3.57, 4 Nd 3.48-3.55

4.
Material: NaI3O8
Method: DFT, SCAN
State: PBEsol geometry

Results
Crystal system: tetragonal
Volume, Å³/atom: 15.19
Energy relative to the elements, uncorrected, eV/f.u.: -7.298
N(E_F), states/eV per cell: 0.000

abc: 7.9936 7.9936 5.7041
angles: 90.00 90.00 90.00
Last column: nearest neighbours and their distance in Å.
Space group P-4 (No. 81)
Symmetry-distinct sites (fractional):
Na (0.0000, 0.0000, 0.0000) (multiplicity 1)  4 O 2.33
Na (0.5000, 0.5000, 0.0000) (multiplicity 1)  4 O 2.35
I (0.0000, 0.5000, 0.0978) (multiplicity 2)  4 O 1.85-2.04
I (0.2499, 0.7290, 0.6049) (multiplicity 4)  3 O 1.81-1.97
O (0.0514, 0.6725, 0.3031) (multiplicity 4)  1 I 1.85
O (0.0663, 0.7598, 0.7886) (multiplicity 4)  1 I 1.82
O (0.2375, 0.4107, 0.1383) (multiplicity 4)  2 I 1.97-2.04
O (0.2751, 0.5058, 0.6509) (multiplicity 4)  1 I 1.81

5.
Material: Sc2Ga8Ni
Method: DFT, SCAN
State: PBEsol geometry

Results
Crystal system: tetragonal
ΔE_f, eV/atom: -0.547
Volume, Å³/atom: 16.04
N(E_F), states/eV per cell: 3.358

abc: 4.0931 4.0931 10.5285
angles: 90.00 90.00 90.00
Last column: nearest neighbours and their distance in Å.
Space group P4/mmm (No. 123)
Symmetry-distinct sites (fractional):
Sc (0.0000, 0.0000, 0.1886) (multiplicity 2)  12 Ga 2.84-2.89
Ga (0.0000, 0.5000, 0.0000) (multiplicity 2)  4 Sc 2.85, 8 Ga 2.88-2.89
Ga (0.0000, 0.5000, 0.3752) (multiplicity 4)  2 Ni 2.43, 1 Ga 2.63
Ga (0.5000, 0.5000, 0.1928) (multiplicity 2)  8 Ga 2.81-2.88, 4 Sc 2.89
Ni (0.0000, 0.0000, 0.5000) (multiplicity 1)  8 Ga 2.43

6.
Material: CoReP2O
Method: DFT, SCAN
State: PBEsol geometry

Results
Crystal system: tetragonal
Volume, Å³/atom: 12.98
Energy relative to the elements, uncorrected, eV/f.u.: 2.685
N(E_F), states/eV per cell: 3.284

abc: 4.4834 4.4834 3.2291
angles: 90.00 90.00 90.00
Last column: nearest neighbours and their distance in Å.
Space group P4/mmm (No. 123)
Symmetry-distinct sites (fractional):
Co (0.0000, 0.0000, 0.0000) (multiplicity 1)  2 O 1.61
Re (0.5000, 0.5000, 0.5000) (multiplicity 1)  8 P 2.76
P (0.0000, 0.5000, 0.0000) (multiplicity 2)  2 Co 2.24
O (0.0000, 0.0000, 0.5000) (multiplicity 1)  2 Co 1.61

7.
Material: Ni3B7IO13
Method: DFT, SCAN
State: PBEsol geometry

Results
Crystal system: cubic
Volume, Å³/atom: 8.86
Energy relative to the elements, uncorrected, eV/f.u.: -53.554

abc: 11.9377 11.9377 11.9377
angles: 90.00 90.00 90.00
Last column: nearest neighbours and their distance in Å.
Space group F-43c (No. 219)
Symmetry-distinct sites (fractional):
Ni (0.0000, 0.0000, 0.2500) (multiplicity 24)  4 O 1.99
B (0.0000, 0.2500, 0.2500) (multiplicity 24)  4 O 1.46
B (0.1696, 0.1696, 0.1696) (multiplicity 32)  3 O 1.43
I (0.0000, 0.0000, 0.0000) (multiplicity 8)  6 Ni 2.98
O (0.0701, 0.1506, 0.2339) (multiplicity 96)  2 B 1.43-1.46
O (0.2500, 0.2500, 0.2500) (multiplicity 8)  4 B 1.66

8.
Material: CrSn4Au
Method: DFT, SCAN
State: PBEsol geometry

Results
Crystal system: tetragonal
ΔE_f, eV/atom: 0.024
Volume, Å³/atom: 20.85
N(E_F), states/eV per cell: 4.076

abc: 6.7454 6.7454 5.5001
angles: 90.00 90.00 90.00
Last column: nearest neighbours and their distance in Å.
Space group P4/mcc (No. 124)
Symmetry-distinct sites (fractional):
Cr (0.0000, 0.0000, 0.2500) (multiplicity 2)  8 Sn 2.72, 2 Cr 2.75
Sn (0.1321, 0.3221, 0.0000) (multiplicity 8)  2 Cr 2.72, 1 Au 2.76, 1 Sn 2.99
Au (0.5000, 0.5000, 0.0000) (multiplicity 2)  2 Au 2.75, 4 Sn 2.76

9.
Material: LaZnCu2
Method: DFT, SCAN
State: PBEsol geometry

Results
Crystal system: tetragonal
ΔE_f, eV/atom: 0.000
Volume, Å³/atom: 18.10
N(E_F), states/eV per cell: 6.862

abc: 4.7229 4.7229 6.4916
angles: 90.00 90.00 90.00
Last column: nearest neighbours and their distance in Å.
Space group I-4m2 (No. 119)
Symmetry-distinct sites (fractional):
La (0.0000, 0.0000, 0.0000) (multiplicity 2)  4 Cu 2.87, 4 Zn 2.87
Zn (0.0000, 0.5000, 0.2500) (multiplicity 2)  4 La 2.87, 4 Cu 2.87
Cu (0.0000, 0.0000, 0.5000) (multiplicity 2)  4 Cu 2.87, 4 Zn 2.87
Cu (0.0000, 0.5000, 0.7500) (multiplicity 2)  4 La 2.87, 4 Cu 2.87

10.
Material: Sr3Re2
Method: DFT, SCAN
State: PBEsol geometry

Results
Crystal system: trigonal
ΔE_f, eV/atom: 1.519
Volume, Å³/atom: 23.84
N(E_F), states/eV per cell: 9.054

abc: 3.1527 3.1527 41.5455
angles: 90.00 90.00 120.00
Last column: nearest neighbours and their distance in Å.
Space group R-3m (No. 166, hexagonal axes)
Symmetry-distinct sites (fractional):
Sr (0.0000, 0.0000, 0.0000) (multiplicity 3)  6 Sr 3.15, 6 Re 3.16
Sr (0.0000, 0.0000, 0.2121) (multiplicity 6)  3 Re 3.05, 6 Sr 3.15
Re (0.0000, 0.0000, 0.3955) (multiplicity 6)  6 Sr 3.05-3.16, 6 Re 3.15

11.
Material: CdPb2W
Method: DFT, SCAN
State: PBEsol geometry

Results
Crystal system: monoclinic
ΔE_f, eV/atom: 1.007
Volume, Å³/atom: 22.13
N(E_F), states/eV per cell: 5.411

abc: 6.4736 9.9319 3.1089
angles: 90.00 117.66 90.00
Last column: nearest neighbours and their distance in Å.
Space group C2/m (No. 12)
Symmetry-distinct sites (fractional):
Cd (0.0000, 0.0000, 0.0000) (multiplicity 2)  4 Pb 2.98, 2 Cd 3.11, 4 W 3.24-3.29
Pb (0.2500, 0.2500, 0.5000) (multiplicity 4)  2 Cd 2.98, 2 W 2.98, 6 Pb 3.11-3.29
W (0.0000, 0.5000, 0.0000) (multiplicity 2)  4 Pb 2.98, 2 W 3.11, 4 Cd 3.24-3.29